[1]
Compound: Li2Ca2Si4Pt
Source: Alexandria
Functional: GGA-PBE
Structure: optimized geometry

Summary:
formation energy from raw total energies: -0.50 eV/atom
D(E_F): 2.72 states/eV per cell
space group: No. 139
electronic total energy: -0.164 hartree per atom
M_tot: 0.00 Bohr magnetons per cell

Cell lengths 6.172, 6.172, 6.172 Å; angles 85.70, 122.51, 122.51 degrees
Fractional coordinates of all 9 atoms:
Li  0.000  0.283  0.283
Li  0.000  0.717  0.717
Si  0.000  0.708  0.292
Si  0.415  0.708  0.708
Si  0.585  0.292  0.292
Si  0.000  0.292  0.708
Pt  0.000  0.000  0.000
Ca  0.500  0.750  0.250
Ca  0.500  0.250  0.750

[2]
Compound: La4Nd2HoTm
Source: Alexandria
Functional: GGA-PBE
Structure: optimized geometry

Summary:
D(E_F): 11.85 states/eV per cell
space group: No. 10
electronic total energy: -0.175 hartree per atom
calculated formation energy: 0.016 eV/atom
M_tot: 0.00 Bohr magnetons per cell

Cell lengths 5.248, 5.212, 11.458 Å; angles 62.89, 90.00, 90.00 degrees
Fractional coordinates of all 8 atoms:
Nd  0.500  0.000  0.500
Nd  0.000  0.000  0.000
La  0.000  0.751  0.749
La  0.500  0.250  0.750
La  0.500  0.750  0.250
La  0.000  0.249  0.251
Tm  0.000  0.500  0.500
Ho  0.500  0.500  0.000

[3]
Compound: AgRuSe2
Source: Alexandria
Functional: GGA-PBE
Structure: optimized geometry

Summary:
formation energy from raw total energies: 0.25 eV/atom
D(E_F): 3.21 states/eV per cell
space group: No. 225
electronic total energy: -0.166 hartree per atom
M_tot: 0.00 Bohr magnetons per cell

Cell lengths 4.595, 4.595, 4.595 Å; angles 60.00, 60.00, 60.00 degrees
Fractional coordinates of all 4 atoms:
Se  0.250  0.250  0.250
Se  0.750  0.750  0.750
Ag  0.500  0.500  0.500
Ru  0.000  0.000  0.000

[4]
Compound: SrMnW2
Source: Alexandria
Functional: GGA-PBE
Structure: optimized geometry

Summary:
D(E_F): 5.54 states/eV per cell
space group: No. 123
electronic total energy: -0.280 hartree per atom
calculated formation energy: 1.580 eV/atom
M_tot: 2.37 Bohr magnetons per cell

Cell lengths 5.160, 5.160, 2.797 Å; angles 90.00, 90.00, 90.00 degrees
Last column: magnetic moment on the atom in μB.
Fractional coordinates of all 4 atoms:
W  0.500  0.500  0.000  -0.27
W  0.000  0.000  0.000  -0.27
Mn  0.500  0.000  0.500  2.98
Sr  0.000  0.500  0.500  -0.02

[5]
Compound: LiLa2Ag3Ge4
Source: Alexandria
Functional: GGA-PBE
Structure: optimized geometry

Summary:
D(E_F): 3.94 states/eV per cell
space group: No. 115
electronic total energy: -0.159 hartree per atom
calculated formation energy: -0.436 eV/atom
M_tot: 0.00 Bohr magnetons per cell

Cell lengths 4.400, 4.400, 11.026 Å; angles 90.00, 90.00, 90.00 degrees
Fractional coordinates of all 10 atoms:
Ag  0.500  0.000  0.864
Ag  0.000  0.500  0.136
Ag  0.000  0.000  0.500
Ge  0.000  0.000  0.000
Ge  0.000  0.500  0.367
Ge  0.500  0.500  0.000
Ge  0.500  0.000  0.633
La  0.500  0.000  0.255
La  0.000  0.500  0.745
Li  0.500  0.500  0.500

[6]
Compound: PmDy2Al2
Source: Alexandria
Functional: GGA-PBE
Structure: optimized geometry

Summary:
D(E_F): 6.87 states/eV per cell
space group: No. 11
electronic total energy: -0.169 hartree per atom
calculated formation energy: -0.300 eV/atom
M_tot: 0.00 Bohr magnetons per cell

Cell lengths 3.666, 5.210, 13.638 Å; angles 90.00, 97.73, 90.00 degrees
Fractional coordinates of all 10 atoms:
Pm  0.857  0.750  0.711
Pm  0.143  0.250  0.289
Al  0.360  0.250  0.718
Al  0.640  0.750  0.282
Al  0.453  0.750  0.905
Al  0.547  0.250  0.095
Dy  0.047  0.750  0.094
Dy  0.768  0.250  0.534
Dy  0.953  0.250  0.906
Dy  0.232  0.750  0.466

[7]
Compound: ScMnW
Source: Alexandria
Functional: GGA-PBE
Structure: optimized geometry

Summary:
D(E_F): 4.17 states/eV per cell
space group: No. 42
electronic total energy: -0.338 hartree per atom
calculated formation energy: 0.279 eV/atom
M_tot: 1.45 Bohr magnetons per cell

Cell lengths 6.861, 6.678, 2.807 Å; angles 81.73, 74.39, 23.88 degrees
Last column: magnetic moment on the atom in μB.
Fractional coordinates of all 3 atoms:
W  0.652  0.652  0.348  -0.12
Mn  0.007  0.007  0.993  1.60
Sc  0.341  0.341  0.659  -0.06

[8]
Compound: Rb3Hg3Pb
Source: Alexandria
Functional: GGA-PBE
Structure: optimized geometry

Summary:
D(E_F): 7.28 states/eV per cell
space group: No. 12
electronic total energy: -0.047 hartree per atom
calculated formation energy: -0.206 eV/atom
M_tot: 0.00 Bohr magnetons per cell

Cell lengths 5.185, 7.396, 16.610 Å; angles 84.72, 81.02, 69.48 degrees
Fractional coordinates of all 14 atoms:
Hg  0.884  0.697  0.536
Hg  0.048  0.142  0.761
Hg  0.116  0.303  0.464
Hg  0.903  0.113  0.082
Hg  0.952  0.858  0.239
Hg  0.097  0.887  0.918
Rb  0.608  0.707  0.077
Rb  0.250  0.262  0.238
Rb  0.485  0.651  0.378
Rb  0.515  0.349  0.622
Rb  0.750  0.738  0.762
Rb  0.392  0.293  0.923
Pb  0.244  0.932  0.579
Pb  0.756  0.068  0.421

[9]
Compound: YHo6Er5
Source: Alexandria
Functional: GGA-PBE
Structure: optimized geometry

Summary:
D(E_F): 16.76 states/eV per cell
space group: No. 12
electronic total energy: -0.173 hartree per atom
calculated formation energy: 0.022 eV/atom
M_tot: 0.00 Bohr magnetons per cell

Cell lengths 11.667, 6.101, 6.095 Å; angles 59.97, 85.02, 80.01 degrees
Fractional coordinates of all 12 atoms:
Ho  0.251  0.916  0.666
Ho  0.749  0.749  0.000
Ho  0.251  0.582  0.334
Ho  0.251  0.251  0.000
Ho  0.749  0.418  0.666
Ho  0.749  0.084  0.334
Er  0.000  0.667  0.667
Er  0.500  0.833  0.333
Er  0.500  0.500  0.000
Er  0.000  0.333  0.333
Er  0.500  0.167  0.667
Y  0.000  0.000  0.000

[10]
Compound: MgGeIr2S
Source: Alexandria
Functional: GGA-PBE
Structure: optimized geometry

Summary:
formation energy from raw total energies: 1.62 eV/atom
D(E_F): 6.55 states/eV per cell
space group: No. 123
electronic total energy: -0.147 hartree per atom
M_tot: 0.00 Bohr magnetons per cell

Cell lengths 4.633, 4.656, 4.633 Å; angles 90.00, 90.00, 90.00 degrees
Fractional coordinates of all 5 atoms:
Mg  0.000  0.000  0.000
Ge  0.000  0.500  0.000
Ir  0.500  0.000  0.000
Ir  0.000  0.000  0.500
S  0.500  0.500  0.500

[11]
Compound: YZnCrBr2
Source: Alexandria
Functional: GGA-PBE
Structure: optimized geometry

Summary:
formation energy from raw total energies: 0.44 eV/atom
D(E_F): 1.83 states/eV per cell
space group: No. 123
electronic total energy: -0.136 hartree per atom
M_tot: 5.07 Bohr magnetons per cell

Cell lengths 5.110, 5.776, 5.110 Å; angles 90.00, 90.00, 90.00 degrees
Last column: magnetic moment on the atom in μB.
Fractional coordinates of all 5 atoms:
Cr  0.500  0.500  0.500  4.21
Br  0.000  0.000  0.500  0.02
Br  0.500  0.000  0.000  0.02
Zn  0.000  0.000  0.000  0.00
Y  0.000  0.500  0.000  0.03

[12]
Compound: CdSi
Source: Alexandria
Functional: GGA-PBE
Structure: optimized geometry

Summary:
formation energy from raw total energies: 0.31 eV/atom
D(E_F): 5.72 states/eV per cell
space group: No. 44
electronic total energy: -0.105 hartree per atom
M_tot: 0.00 Bohr magnetons per cell

Cell lengths 13.170, 3.558, 5.301 Å; angles 90.00, 90.00, 90.00 degrees
Fractional coordinates of all 12 atoms:
Cd  0.701  0.500  0.607
Cd  0.500  0.000  0.531
Cd  0.799  0.000  0.107
Cd  0.000  0.500  0.031
Cd  0.299  0.500  0.607
Cd  0.201  0.000  0.107
Si  0.624  0.500  0.117
Si  0.124  0.000  0.617
Si  0.500  0.000  0.022
Si  0.000  0.500  0.522
Si  0.876  0.000  0.617
Si  0.376  0.500  0.117

[13]
Compound: HfNb3
Source: Alexandria
Functional: GGA-PBE
Structure: optimized geometry

Summary:
D(E_F): 8.18 states/eV per cell
space group: No. 225
electronic total energy: -0.367 hartree per atom
calculated formation energy: 0.050 eV/atom
M_tot: 0.00 Bohr magnetons per cell

Cell lengths 4.755, 4.755, 4.755 Å; angles 60.00, 60.00, 60.00 degrees
Fractional coordinates of all 4 atoms:
Hf  0.500  0.500  0.500
Nb  0.000  0.000  0.000
Nb  0.250  0.250  0.250
Nb  0.750  0.750  0.750

[14]
Compound: Tb2Sm6Y3Er
Source: Alexandria
Functional: GGA-PBE
Structure: optimized geometry

Summary:
D(E_F): 15.08 states/eV per cell
space group: No. 12
electronic total energy: -0.188 hartree per atom
calculated formation energy: 0.013 eV/atom
M_tot: 0.00 Bohr magnetons per cell

Cell lengths 6.231, 6.231, 11.856 Å; angles 95.01, 95.01, 119.98 degrees
Fractional coordinates of all 12 atoms:
Y  0.833  0.167  0.500
Y  0.500  0.500  0.500
Y  0.167  0.833  0.500
Sm  0.917  0.584  0.751
Sm  0.750  0.750  0.249
Sm  0.416  0.083  0.249
Sm  0.250  0.250  0.751
Sm  0.584  0.917  0.751
Sm  0.083  0.416  0.249
Er  0.000  0.000  0.000
Tb  0.333  0.667  0.000
Tb  0.667  0.333  0.000

[15]
Compound: Ta2CoH4
Source: Alexandria
Functional: GGA-PBE
Structure: optimized geometry

Summary:
D(E_F): 5.52 states/eV per cell
space group: No. 11
electronic total energy: -0.234 hartree per atom
M_tot: 0.00 Bohr magnetons per cell

Cell lengths 5.037, 3.893, 6.279 Å; angles 90.00, 108.96, 90.00 degrees
Fractional coordinates of all 14 atoms:
Co  0.343  0.750  0.187
Co  0.657  0.250  0.813
H  0.584  0.475  0.281
H  0.088  0.750  0.887
H  0.416  0.975  0.719
H  0.960  0.250  0.595
H  0.416  0.525  0.719
H  0.584  0.025  0.281
H  0.912  0.250  0.113
H  0.040  0.750  0.405
Ta  0.227  0.250  0.429
Ta  0.200  0.250  0.915
Ta  0.800  0.750  0.085
Ta  0.773  0.750  0.571

[16]
Compound: BaZrNi2
Source: Alexandria
Functional: GGA-PBE
Structure: optimized geometry

Summary:
D(E_F): 4.85 states/eV per cell
space group: No. 99
electronic total energy: -0.195 hartree per atom
calculated formation energy: 0.198 eV/atom
M_tot: 0.00 Bohr magnetons per cell

Cell lengths 3.399, 3.397, 7.751 Å; angles 90.00, 90.00, 90.00 degrees
Fractional coordinates of all 4 atoms:
Ni  0.000  0.000  0.079
Ni  0.500  0.500  0.235
Zr  0.000  0.000  0.385
Ba  0.500  0.500  0.801

[17]
Compound: NaScSiO4
Source: Alexandria
Functional: GGA-PBE
Structure: optimized geometry

Summary:
formation energy from raw total energies: -2.79 eV/atom
D(E_F): 0.00 states/eV per cell
space group: No. 11
electronic total energy: -0.275 hartree per atom
M_tot: 0.00 Bohr magnetons per cell

Cell lengths 5.315, 5.581, 6.565 Å; angles 90.00, 106.59, 90.00 degrees
Fractional coordinates of all 14 atoms:
Sc  0.804  0.750  0.464
Sc  0.196  0.250  0.536
O  0.055  0.975  0.309
O  0.055  0.525  0.309
O  0.467  0.750  0.185
O  0.531  0.250  0.427
O  0.533  0.250  0.815
O  0.469  0.750  0.573
O  0.945  0.025  0.691
O  0.945  0.475  0.691
Si  0.734  0.250  0.668
Si  0.266  0.750  0.332
Na  0.331  0.250  0.075
Na  0.669  0.750  0.925

[18]
Compound: Te2HOsN
Source: Alexandria
Functional: GGA-PBE
Structure: optimized geometry

Summary:
D(E_F): 3.62 states/eV per cell
space group: No. 123
electronic total energy: -0.167 hartree per atom
M_tot: 0.00 Bohr magnetons per cell

Cell lengths 4.987, 4.987, 2.920 Å; angles 90.00, 90.00, 90.00 degrees
Fractional coordinates of all 5 atoms:
Te  0.000  0.500  0.000
Te  0.500  0.000  0.000
N  0.000  0.000  0.500
Os  0.500  0.500  0.500
H  0.000  0.000  0.000

[19]
Compound: AlSn3Pt
Source: Alexandria
Functional: GGA-PBE
Structure: optimized geometry

Summary:
D(E_F): 2.84 states/eV per cell
space group: No. 221
electronic total energy: -0.135 hartree per atom
calculated formation energy: 0.691 eV/atom
M_tot: 0.00 Bohr magnetons per cell

Cell lengths 5.141, 5.141, 5.141 Å; angles 90.00, 90.00, 90.00 degrees
Fractional coordinates of all 5 atoms:
Sn  0.000  0.000  0.500
Sn  0.500  0.000  0.000
Sn  0.000  0.500  0.000
Pt  0.500  0.500  0.500
Al  0.000  0.000  0.000

[20]
Compound: SrZn2Pd5
Source: Alexandria
Functional: GGA-PBE
Structure: optimized geometry

Summary:
D(E_F): 4.00 states/eV per cell
space group: No. 71
electronic total energy: -0.155 hartree per atom
calculated formation energy: -0.449 eV/atom
M_tot: 0.00 Bohr magnetons per cell

Cell lengths 3.961, 6.570, 6.570 Å; angles 66.40, 72.46, 72.46 degrees
Fractional coordinates of all 8 atoms:
Pd  0.644  0.548  0.163
Pd  0.356  0.452  0.837
Pd  0.000  0.500  0.500
Pd  0.644  0.163  0.548
Pd  0.356  0.837  0.452
Zn  0.243  0.257  0.257
Zn  0.757  0.743  0.743
Sr  0.000  0.000  0.000

[21]
Compound: Dy2HfTe
Source: Alexandria
Functional: GGA-PBE
Structure: optimized geometry

Summary:
formation energy from raw total energies: 0.08 eV/atom
D(E_F): 3.73 states/eV per cell
space group: No. 166
electronic total energy: -0.202 hartree per atom
M_tot: 1.31 Bohr magnetons per cell

Cell lengths 3.663, 3.663, 10.600 Å; angles 80.05, 80.05, 60.00 degrees
Last column: magnetic moment on the atom in μB.
Fractional coordinates of all 4 atoms:
Dy  0.098  0.098  0.707  0.18
Dy  0.902  0.902  0.293  0.18
Te  0.500  0.500  0.500  0.00
Hf  0.000  0.000  0.000  0.62

[22]
Compound: Pr6In3Sn
Source: Alexandria
Functional: GGA-PBE
Structure: optimized geometry

Summary:
D(E_F): 19.54 states/eV per cell
space group: No. 36
electronic total energy: -0.162 hartree per atom
calculated formation energy: -0.328 eV/atom
M_tot: 0.00 Bohr magnetons per cell

Cell lengths 7.028, 10.377, 10.377 Å; angles 122.01, 90.00, 90.00 degrees
Fractional coordinates of all 20 atoms:
Pr  0.273  0.978  0.022
Pr  0.807  0.540  0.093
Pr  0.773  0.022  0.978
Pr  0.289  0.712  0.288
Pr  0.307  0.460  0.907
Pr  0.556  0.251  0.369
Pr  0.056  0.369  0.251
Pr  0.307  0.093  0.540
Pr  0.556  0.631  0.749
Pr  0.807  0.907  0.460
Pr  0.056  0.749  0.631
Pr  0.789  0.288  0.712
In  0.488  0.907  0.686
In  0.988  0.686  0.907
In  0.136  0.413  0.587
In  0.988  0.093  0.314
In  0.488  0.314  0.093
In  0.636  0.587  0.413
Sn  0.588  0.851  0.149
Sn  0.088  0.149  0.851

[23]
Compound: NdEr6Tm8
Source: Alexandria
Functional: GGA-PBE
Structure: optimized geometry

Summary:
D(E_F): 22.16 states/eV per cell
space group: No. 148
electronic total energy: -0.161 hartree per atom
calculated formation energy: 0.139 eV/atom
M_tot: 0.00 Bohr magnetons per cell

Cell lengths 8.924, 8.924, 8.512 Å; angles 58.39, 58.39, 60.00 degrees
Fractional coordinates of all 15 atoms:
Er  0.774  0.462  0.876
Er  0.226  0.538  0.124
Er  0.888  0.774  0.876
Er  0.538  0.112  0.124
Er  0.462  0.888  0.876
Er  0.112  0.226  0.124
Tm  0.110  0.743  0.427
Tm  0.890  0.257  0.573
Tm  0.743  0.720  0.427
Tm  0.424  0.424  0.729
Tm  0.257  0.280  0.573
Tm  0.280  0.890  0.573
Tm  0.576  0.576  0.271
Tm  0.720  0.110  0.427
Nd  0.000  0.000  0.000

[24]
Compound: AcZr2W
Source: Alexandria
Functional: GGA-PBE
Structure: optimized geometry

Summary:
D(E_F): 5.29 states/eV per cell
space group: No. 166
electronic total energy: -0.294 hartree per atom
calculated formation energy: 0.551 eV/atom
M_tot: 0.00 Bohr magnetons per cell

Cell lengths 3.347, 3.347, 10.927 Å; angles 81.19, 81.19, 60.00 degrees
Fractional coordinates of all 4 atoms:
Ac  0.000  0.000  0.000
Zr  0.896  0.896  0.311
Zr  0.104  0.104  0.689
W  0.500  0.500  0.500